VASP calculation (PBEsol) on crystalline MnSi2As at its relaxed geometry.

```
data_MnSi2As
_chemical_formula_sum 'Mn4 Si8 As4'
_space_group_name_H-M_alt 'F -4 3 m'
_space_group_IT_number 216
_space_group_name_Hall 'F -4 2 3'
_cell_length_a 5.944
_cell_length_b 5.944
_cell_length_c 5.944
_cell_angle_alpha 90.00
_cell_angle_beta 90.00
_cell_angle_gamma 90.00
loop_
_atom_site_label
_atom_site_fract_x
_atom_site_fract_y
_atom_site_fract_z
Mn1 0.000 0.000 0.000
Si1 0.000 0.000 0.500
Si2 0.250 0.250 0.750
As1 0.250 0.250 0.250
```

Properties
* crystal system: cubic
* density of states at the Fermi level: 9.45 states/eV/cell
* E_form (uncorrected): 0.352 eV per atom
* final energy: -0.4585 Ry per atom